[1]
Below is an optimized crystal structure of NaTl2TeCl6, with properties calculated at the PBE level.

Energy relative to the elements, uncorrected in eV per atom: -0.911
Magnetization in μB per cell: 2.03
Fermi-level density of states in states/eV per cell: 0.5

Cell lengths 7.240, 11.637, 8.119 Å; angles 90.00, 90.00, 90.00 degrees
Space group Pmmn (No. 59, origin choice 2)
Symmetry-distinct sites (fractional):
Na1 0.250 0.250 0.239 [2 per cell]
Tl1 0.250 0.027 0.827 [4 per cell]
Te1 0.250 0.750 0.276 [2 per cell]
Cl1 0.002 0.250 0.953 [4 per cell]
Cl2 0.003 0.750 0.491 [4 per cell]
Cl3 0.250 0.020 0.190 [4 per cell]

---

[2]
Below is an optimized crystal structure of Li2AgF5, with properties calculated at the PBE level.

Energy relative to the elements, uncorrected in eV per atom: -1.970
Magnetization in μB per cell: 0.06
Offset from the most stable computed form in meV/atom: 4

Cell lengths 3.695, 5.454, 5.728 Å; angles 99.21, 100.50, 104.70 degrees
Space group P1 (No. 1)
Symmetry-distinct sites (fractional):
Li1 0.000 0.000 0.000 [1 per cell]
Li2 0.384 0.600 0.118 [1 per cell]
Ag1 0.386 0.151 0.570 [1 per cell]
F1 0.136 0.364 0.760 [1 per cell]
F2 0.272 0.291 0.274 [1 per cell]
F3 0.466 0.993 0.859 [1 per cell]
F4 0.635 0.923 0.398 [1 per cell]
F5 0.901 0.678 0.075 [1 per cell]

---

[3]
Below is an optimized crystal structure of Y2TaRe, with properties calculated at the PBE level.

Magnetization in μB per cell: 0.00
Calculated formation energy in eV per atom: 0.525
Offset from the most stable computed form in meV/atom: 490
Fermi-level density of states in states/eV per cell: 10.7

Cell lengths 5.897, 9.951, 3.003 Å; angles 90.00, 106.19, 90.00 degrees
Space group C2/m (No. 12)
Symmetry-distinct sites (fractional):
Y1 0.250 0.250 0.000 [4 per cell]
Ta1 0.000 0.000 0.500 [2 per cell]
Re1 0.000 0.500 0.500 [2 per cell]

---

[4]
Below is an optimized crystal structure of AcYSbSe, with properties calculated at the PBE level.

Energy relative to the elements, uncorrected in eV per atom: -1.150
Magnetization in μB per cell: 0.01
Fermi-level density of states in states/eV per cell: 19.5

Cell lengths 5.1066, 5.1066, 35.5923 Å; angles 90.00, 90.00, 120.00 degrees
Space group R-3m (No. 166, hexagonal axes)
Symmetry-distinct sites (fractional):
Ac1 0.0000 0.0000 0.2043 [6 per cell]
Y1 0.0000 0.0000 0.3776 [6 per cell]
Sb1 0.0000 0.0000 0.0947 [6 per cell]
Se1 0.0000 0.0000 0.2984 [6 per cell]

---

[5]
Below is an optimized crystal structure of Na2Hg3Bi2, with properties calculated at the PBE level.

Magnetization in μB per cell: 0.00
Calculated formation energy in eV per atom: -0.104
Offset from the most stable computed form in meV/atom: 52
Fermi-level density of states in states/eV per cell: 9.7

Cell lengths 9.391, 9.391, 9.391 Å; angles 90.00, 90.00, 90.00 degrees
Space group I2_13 (No. 199)
Symmetry-distinct sites (fractional):
Na1 0.057 0.057 0.057 [8 per cell]
Hg1 0.000 0.250 0.320 [12 per cell]
Bi1 0.144 0.356 0.644 [8 per cell]

---

[6]
Below is an optimized crystal structure of AlPI2O4, with properties calculated at the PBE level.

Energy relative to the elements, uncorrected in eV per atom: -1.586
Magnetization in μB per cell: 0.00
Fermi-level density of states in states/eV per cell: 18.5

Cell lengths 5.010, 18.287, 20.032 Å; angles 90.00, 90.00, 90.00 degrees
Space group Fddd (No. 70, origin choice 2)
Symmetry-distinct sites (fractional):
Al1 0.125 0.125 0.125 [8 per cell]
P1 0.125 0.125 0.625 [8 per cell]
I1 0.125 0.125 0.344 [16 per cell]
O1 0.088 0.330 0.833 [32 per cell]